This record from Alexandria describes a geometry-optimized AlCu2MoH structure. The functional is PBE.

The space group is P4/mmm (No. 123) and the conventional cell measures 3.7753, 3.7753 and 3.9942 Å, with angles of 90.00, 90.00 and 90.00 degrees. The distinct sites, in fractional coordinates, are Al at (0.0000, 0.0000, 0.0000), Cu at (0.0000, 0.5000, 0.5000), Mo at (0.5000, 0.5000, 0.0000) and H at (0.5000, 0.5000, 0.5000).

For the final energy, the calculation gives -5.2597 eV per atom. Its mass density is 7.32 g/cm3.